No. 1
First-principles (GGA-PBE) data for crystalline Pm6SmY at its relaxed geometry, as listed in Alexandria.

a = 5.1404 Å, b = 7.2798 Å, c = 7.2798 Å
α = 90.00°, β = 90.00°, γ = 90.00°
Closest atoms and distances in Å follow each position.
Atoms (fractional coordinates):
Pm 0.5000 0.0000 0.5000  8 Pm 3.64, 2 Sm 3.64, 2 Y 3.64
Pm 0.5000 0.5000 0.0000  8 Pm 3.64, 2 Y 3.64, 2 Sm 3.64
Pm 0.0000 0.2503 0.2503  8 Pm 3.63-3.65, 2 Y 3.63, 2 Sm 3.64
Pm 0.0000 0.7497 0.7497  8 Pm 3.63-3.65, 2 Y 3.63, 2 Sm 3.64
Pm 0.0000 0.7496 0.2504  8 Pm 3.63-3.65, 2 Y 3.63, 2 Sm 3.64
Pm 0.0000 0.2504 0.7496  8 Pm 3.63-3.65, 2 Y 3.63, 2 Sm 3.64
Sm 0.5000 0.0000 0.0000  12 Pm 3.64
Y 0.5000 0.5000 0.5000  12 Pm 3.63-3.64

Computed properties:
E above lowest polymorph: 0.000 eV per atom
E_tot: -4.9476 eV/atom
DFT formation energy: 0.013 eV/atom



No. 2
First-principles (GGA-PBE) data for crystalline Pm4Sm2Y5 at its relaxed geometry, as listed in Alexandria.

a = 6.8328 Å, b = 6.6631 Å, c = 10.2358 Å
α = 79.16°, β = 70.50°, γ = 59.15°
Closest atoms and distances in Å follow each position.
Atoms (fractional coordinates):
Pm 0.7167 0.7655 0.8011  1 Pm 3.27, 7 Y 3.31-3.47, 2 Sm 3.43
Pm 0.2833 0.2345 0.1989  1 Pm 3.27, 7 Y 3.31-3.47, 2 Sm 3.43
Pm 0.6261 0.1830 0.5649  1 Sm 3.24, 1 Pm 3.27, 2 Y 3.60
Pm 0.3739 0.8170 0.4351  1 Sm 3.24, 1 Pm 3.27, 2 Y 3.60
Y 0.3175 0.7454 0.1123  4 Y 3.37-3.59, 4 Pm 3.41-3.60, 3 Sm 3.47-3.71
Y 0.6825 0.2546 0.8877  4 Y 3.37-3.59, 4 Pm 3.41-3.60, 3 Sm 3.47-3.71
Y 0.8248 0.7454 0.1123  4 Y 3.37-3.59, 4 Pm 3.41-3.60, 3 Sm 3.47-3.71
Y 0.1752 0.2546 0.8877  4 Y 3.37-3.59, 4 Pm 3.41-3.60, 3 Sm 3.47-3.71
Y 0.0000 0.5000 0.5000  2 Pm 3.31
Sm 0.7576 0.2542 0.2306  3 Pm 3.24-3.43, 4 Y 3.47-3.57
Sm 0.2424 0.7458 0.7694  3 Pm 3.24-3.43, 4 Y 3.47-3.57

Computed properties:
E above lowest polymorph: 0.069 eV per atom
E_tot: -5.3535 eV/atom
DFT formation energy: 0.170 eV/atom



No. 3
First-principles (GGA-PBE) data for crystalline PmSm4Y5 at its relaxed geometry, as listed in Alexandria.

a = 6.2909 Å, b = 7.9801 Å, c = 7.9801 Å
α = 81.06°, β = 66.79°, γ = 66.79°
Closest atoms and distances in Å follow each position.
Atoms (fractional coordinates):
Y 0.7199 0.0796 0.3814  4 Sm 3.24-3.56, 1 Pm 3.32, 1 Y 3.33
Y 0.6790 0.0000 0.0000  1 Pm 2.89
Y 0.1013 0.6186 0.0796  4 Sm 3.24-3.56, 1 Pm 3.32, 1 Y 3.33
Y 0.7995 0.3814 0.9204  4 Sm 3.24-3.56, 1 Pm 3.32, 1 Y 3.33
Y 0.1809 0.9204 0.6186  4 Sm 3.24-3.56, 1 Pm 3.32, 1 Y 3.33
Sm 0.1017 0.3035 0.3978  4 Y 3.24-3.56, 1 Sm 3.25
Sm 0.4996 0.6022 0.3035  4 Y 3.24-3.56, 1 Sm 3.25
Sm 0.8030 0.6965 0.6022  4 Y 3.24-3.56, 1 Sm 3.25
Sm 0.4052 0.3978 0.6965  4 Y 3.24-3.56, 1 Sm 3.25
Pm 0.2202 0.0000 0.0000  1 Y 2.89

Computed properties:
E above lowest polymorph: 0.098 eV per atom
E_tot: -5.3088 eV/atom
DFT formation energy: 0.286 eV/atom



No. 4
First-principles (GGA-PBE) data for crystalline Pm3Sm4Y4 at its relaxed geometry, as listed in Alexandria.

a = 3.5699 Å, b = 11.4072 Å, c = 11.0969 Å
α = 120.93°, β = 99.26°, γ = 90.00°
Closest atoms and distances in Å follow each position.
Atoms (fractional coordinates):
Pm 0.1043 0.1043 0.2085  3 Pm 3.57-3.90, 6 Y 3.60-3.66, 4 Sm 3.66
Pm 0.0000 0.5000 0.0000  2 Pm 3.57, 4 Y 3.72
Pm 0.8957 0.8957 0.7915  3 Pm 3.57-3.90, 6 Y 3.60-3.66, 4 Sm 3.66
Y 0.2250 0.7250 0.4500  6 Sm 3.44-3.55, 2 Y 3.57, 2 Pm 3.66
Y 0.7750 0.2750 0.5500  6 Sm 3.44-3.55, 2 Y 3.57, 2 Pm 3.66
Y 0.5000 0.2137 0.0000  2 Sm 3.22, 2 Y 3.57, 4 Pm 3.60
Y 0.5000 0.7863 0.0000  2 Sm 3.22, 2 Y 3.57, 4 Pm 3.60
Sm 0.3300 0.0891 0.6601  4 Y 3.22-3.55, 4 Sm 3.49-3.57
Sm 0.6700 0.4290 0.3399  4 Y 3.22-3.55, 4 Sm 3.49-3.57
Sm 0.6700 0.9109 0.3399  4 Y 3.22-3.55, 4 Sm 3.49-3.57
Sm 0.3300 0.5710 0.6601  4 Y 3.22-3.55, 4 Sm 3.49-3.57

Computed properties:
E above lowest polymorph: 0.031 eV per atom
E_tot: -5.1830 eV/atom
DFT formation energy: 0.179 eV/atom



No. 5
First-principles (GGA-PBE) data for crystalline Pm3Sm5Y3 at its relaxed geometry, as listed in Alexandria.

a = 5.5650 Å, b = 9.7184 Å, c = 9.7184 Å
α = 120.00°, β = 90.00°, γ = 90.00°
Closest atoms and distances in Å follow each position.
Atoms (fractional coordinates):
Sm 0.5000 0.6667 0.3333  3 Pm 3.12
Sm 0.5000 0.2700 0.2700  2 Pm 3.16, 2 Y 3.34
Sm 0.5000 0.7300 0.0000  2 Pm 3.16, 2 Y 3.34
Sm 0.5000 0.3333 0.6667  3 Pm 3.12
Sm 0.5000 0.0000 0.7300  2 Pm 3.16, 2 Y 3.34
Pm 0.5000 0.0000 0.3604  4 Sm 3.12-3.16, 2 Y 3.28
Pm 0.5000 0.6396 0.6396  4 Sm 3.12-3.16, 2 Y 3.28
Pm 0.5000 0.3604 0.0000  4 Sm 3.12-3.16, 2 Y 3.28
Y 0.0000 0.0000 0.5394  2 Pm 3.28, 2 Sm 3.34
Y 0.0000 0.5394 0.0000  2 Pm 3.28, 2 Sm 3.34
Y 0.0000 0.4606 0.4606  2 Pm 3.28, 2 Sm 3.34

Computed properties:
E above lowest polymorph: 0.437 eV per atom
E_tot: -4.4290 eV/atom
DFT formation energy: 0.775 eV/atom



No. 6
First-principles (GGA-PBE) data for crystalline Pm5Sm4Y2 at its relaxed geometry, as listed in Alexandria.

a = 3.5072 Å, b = 8.8983 Å, c = 12.2577 Å
α = 97.29°, β = 98.23°, γ = 90.00°
Closest atoms and distances in Å follow each position.
Atoms (fractional coordinates):
Pm 0.2312 0.8223 0.4625  1 Y 3.39, 7 Pm 3.51-3.64, 3 Sm 3.64-3.68
Pm 0.7688 0.1777 0.5375  1 Y 3.39, 7 Pm 3.51-3.64, 3 Sm 3.64-3.68
Pm 0.1400 0.1163 0.2800  3 Sm 3.35-3.61, 1 Y 3.45, 5 Pm 3.51-3.64
Pm 0.5000 0.0000 0.0000  6 Pm 3.51-3.84, 4 Sm 3.70, 4 Y 3.86
Pm 0.8600 0.8837 0.7200  3 Sm 3.35-3.61, 1 Y 3.45, 5 Pm 3.51-3.64
Y 0.0912 0.7343 0.1823  2 Sm 3.32-3.36, 2 Pm 3.39-3.45, 2 Y 3.51
Y 0.9088 0.2657 0.8177  2 Sm 3.32-3.36, 2 Pm 3.39-3.45, 2 Y 3.51
Sm 0.3232 0.5298 0.6463  4 Sm 3.51-3.65, 5 Pm 3.61-3.68, 2 Y 3.76
Sm 0.9543 0.6391 0.9086  2 Y 3.32-3.36, 3 Pm 3.35-3.70, 5 Sm 3.51-3.65
Sm 0.0457 0.3609 0.0914  2 Y 3.32-3.36, 3 Pm 3.35-3.70, 5 Sm 3.51-3.65
Sm 0.6768 0.4702 0.3537  4 Sm 3.51-3.65, 5 Pm 3.61-3.68, 2 Y 3.76

Computed properties:
E above lowest polymorph: 0.023 eV per atom
E_tot: -4.9124 eV/atom
DFT formation energy: 0.138 eV/atom



No. 7
First-principles (GGA-PBE) data for crystalline PmSm4Y7 at its relaxed geometry, as listed in Alexandria.

a = 6.8741 Å, b = 6.5908 Å, c = 11.8742 Å
α = 75.14°, β = 50.21°, γ = 81.89°
Closest atoms and distances in Å follow each position.
Atoms (fractional coordinates):
Y 0.9465 0.6789 0.3612  5 Y 3.44-3.75, 4 Sm 3.48-3.58
Y 0.7998 0.5128 0.9503  5 Y 3.41-3.59, 4 Sm 3.42-3.70, 1 Pm 3.52
Y 0.2776 0.8124 0.6150  5 Y 3.30-3.67, 5 Sm 3.34-3.68
Y 0.5000 0.0000 0.0000  4 Sm 3.42-3.70, 2 Pm 3.44, 4 Y 3.53-3.75
Y 0.0535 0.3211 0.6388  5 Y 3.44-3.75, 4 Sm 3.48-3.58
Y 0.7224 0.1876 0.3850  5 Y 3.30-3.67, 5 Sm 3.34-3.68
Y 0.2002 0.4872 0.0497  5 Y 3.41-3.59, 4 Sm 3.42-3.70, 1 Pm 3.52
Sm 0.4702 0.3599 0.7160  8 Y 3.34-3.70, 1 Pm 3.40, 2 Sm 3.55-3.57
Sm 0.3091 0.1633 0.3077  7 Y 3.42-3.69, 2 Sm 3.55-3.57
Sm 0.6909 0.8367 0.6923  7 Y 3.42-3.69, 2 Sm 3.55-3.57
Sm 0.5298 0.6401 0.2840  8 Y 3.34-3.70, 1 Pm 3.40, 2 Sm 3.55-3.57
Pm 0.0000 0.0000 0.0000  2 Sm 3.40, 4 Y 3.44-3.52

Computed properties:
E_tot: -5.6577 eV/atom
DFT formation energy: 0.082 eV/atom



No. 8
First-principles (GGA-PBE) data for crystalline Pm3SmY6 at its relaxed geometry, as listed in Alexandria.

a = 6.4133 Å, b = 10.9638 Å, c = 10.9638 Å
α = 119.77°, β = 90.00°, γ = 90.00°
Closest atoms and distances in Å follow each position.
Atoms (fractional coordinates):
Y 0.8706 0.4698 0.0537  5 Y 3.23-3.59, 2 Pm 3.33-3.49, 2 Sm 3.37-3.53
Y 0.5474 0.2894 0.3777  4 Y 3.40-3.66, 4 Pm 3.41-3.80
Y 0.3706 0.5302 0.9463  5 Y 3.23-3.59, 2 Pm 3.33-3.49, 2 Sm 3.37-3.53
Y 0.3669 0.9592 0.0408  1 Sm 3.41, 4 Pm 3.55-3.57, 2 Y 3.56
Y 0.0474 0.7106 0.6223  4 Y 3.40-3.66, 4 Pm 3.41-3.80
Y 0.1579 0.7302 0.2698  4 Y 3.23-3.39, 2 Sm 3.40-3.61, 1 Pm 3.45
Y 0.3706 0.0537 0.4698  5 Y 3.23-3.59, 2 Pm 3.33-3.49, 2 Sm 3.37-3.53
Y 0.6579 0.2698 0.7302  4 Y 3.23-3.39, 2 Sm 3.40-3.61, 1 Pm 3.45
Y 0.8706 0.9463 0.5302  5 Y 3.23-3.59, 2 Pm 3.33-3.49, 2 Sm 3.37-3.53
Y 0.0474 0.3777 0.2894  4 Y 3.40-3.66, 4 Pm 3.41-3.80
Y 0.8669 0.0408 0.9592  1 Sm 3.41, 4 Pm 3.55-3.57, 2 Y 3.56
Y 0.5474 0.6223 0.7106  4 Y 3.40-3.66, 4 Pm 3.41-3.80
Pm 0.9581 0.0641 0.2912  1 Sm 3.22, 6 Y 3.33-3.57
Pm 0.5686 0.6126 0.3874  7 Y 3.45-3.80, 2 Pm 3.62, 1 Sm 3.68
Pm 0.4581 0.9359 0.7088  1 Sm 3.22, 6 Y 3.33-3.57
Pm 0.9581 0.7088 0.9359  1 Sm 3.22, 6 Y 3.33-3.57
Pm 0.0686 0.3874 0.6126  7 Y 3.45-3.80, 2 Pm 3.62, 1 Sm 3.68
Pm 0.4581 0.2912 0.0641  1 Sm 3.22, 6 Y 3.33-3.57
Sm 0.1398 0.1950 0.8050  2 Pm 3.22, 6 Y 3.37-3.53
Sm 0.6398 0.8050 0.1950  2 Pm 3.22, 6 Y 3.37-3.53

Computed properties:
E above lowest polymorph: 0.000 eV per atom
E_tot: -5.6343 eV/atom
DFT formation energy: 0.141 eV/atom